[1]
# ZrAl2Si, relaxed, DFT GGA-PBE
# formation energy (no corrections) = -29 kJ per mole of atoms
# final energy = -5.66 eV/atom
# space group = No. 164
data_ZrAl2Si
_space_group_name_H-M_alt 'P 1'
_space_group_IT_number 1
_cell_length_a 4.2161
_cell_length_b 4.2161
_cell_length_c 9.5957
_cell_angle_alpha 90.00
_cell_angle_beta 90.00
_cell_angle_gamma 120.00
loop_
_space_group_symop_operation_xyz
'x,y,z'
loop_
_atom_site_label
_atom_site_fract_x
_atom_site_fract_y
_atom_site_fract_z
Al1 0.6667 0.3333 0.3961
Al2 0.3333 0.6667 0.9986
Al3 0.6667 0.3333 0.0014
Al4 0.3333 0.6667 0.6039
Zr1 0.0000 0.0000 0.1858
Zr2 0.0000 0.0000 0.8142
Si1 0.6667 0.3333 0.6581
Si2 0.3333 0.6667 0.3419



[2]
# ZrAl5Si2, relaxed, DFT GGA-PBE
# formation energy (no corrections) = -10 kJ per mole of atoms
# final energy = -4.87 eV/atom
# space group = No. 139
# polymorph energy (0 for the lowest one) = 23 kJ/mol of formula units
data_ZrAl5Si2
_space_group_name_H-M_alt 'P 1'
_space_group_IT_number 1
_cell_length_a 9.0445
_cell_length_b 9.0445
_cell_length_c 9.0445
_cell_angle_alpha 154.92
_cell_angle_beta 154.92
_cell_angle_gamma 35.77
loop_
_space_group_symop_operation_xyz
'x,y,z'
loop_
_atom_site_label
_atom_site_fract_x
_atom_site_fract_y
_atom_site_fract_z
Si1 0.2625 0.2625 0.0000
Si2 0.7375 0.7375 0.0000
Al1 0.1274 0.6274 0.5000
Al2 0.3726 0.8726 0.5000
Al3 0.5000 0.5000 0.0000
Al4 0.8726 0.3726 0.5000
Al5 0.6274 0.1274 0.5000
Zr1 0.0000 0.0000 0.0000



[3]
# Zr2AlSi2, relaxed, DFT GGA-PBE
# formation energy (no corrections) = -18 kJ per mole of atoms
# final energy = -6.52 eV/atom
# space group = No. 129
data_Zr2AlSi2
_space_group_name_H-M_alt 'P 1'
_space_group_IT_number 1
_cell_length_a 3.8558
_cell_length_b 3.8558
_cell_length_c 13.3426
_cell_angle_alpha 90.00
_cell_angle_beta 90.00
_cell_angle_gamma 90.00
loop_
_space_group_symop_operation_xyz
'x,y,z'
loop_
_atom_site_label
_atom_site_fract_x
_atom_site_fract_y
_atom_site_fract_z
Si1 0.0000 0.0000 0.0000
Si2 0.5000 0.5000 0.0000
Si3 0.5000 0.0000 0.6532
Si4 0.0000 0.5000 0.3468
Al1 0.0000 0.5000 0.6931
Al2 0.5000 0.0000 0.3069
Zr1 0.0000 0.0000 0.5000
Zr2 0.0000 0.5000 0.1514
Zr3 0.5000 0.0000 0.8486
Zr4 0.5000 0.5000 0.5000



[4]
# Zr2Al2Si, relaxed, DFT GGA-PBE
# formation energy (no corrections) = -27 kJ per mole of atoms
# final energy = -6.28 eV/atom
# space group = No. 55
# polymorph energy (0 for the lowest one) = 126 kJ/mol of formula units
data_Zr2Al2Si
_space_group_name_H-M_alt 'P 1'
_space_group_IT_number 1
_cell_length_a 3.3409
_cell_length_b 6.4238
_cell_length_c 8.9927
_cell_angle_alpha 90.00
_cell_angle_beta 90.00
_cell_angle_gamma 90.00
loop_
_space_group_symop_operation_xyz
'x,y,z'
loop_
_atom_site_label
_atom_site_fract_x
_atom_site_fract_y
_atom_site_fract_z
Zr1 0.0000 0.8470 0.2990
Zr2 0.0000 0.1530 0.7010
Zr3 0.0000 0.3470 0.2010
Zr4 0.0000 0.6530 0.7990
Si1 0.0000 0.0000 0.0000
Si2 0.0000 0.5000 0.5000
Al1 0.5000 0.1803 0.4338
Al2 0.5000 0.3197 0.9338
Al3 0.5000 0.6803 0.0662
Al4 0.5000 0.8197 0.5662



Number 1: V 18.5 A^3/atom. Number 2: V 16.6 A^3/atom. Number 3: V 19.8 A^3/atom. Number 4: V 19.3 A^3/atom.